5
Lattice="-4.050 1.060 -2.571 -2.491 -3.403 2.521 -1.237 3.382 3.343" Properties=species:S:1:pos:R:3 comment="Sm3CrO PBE with a Hubbard U relaxed" m_tot_mub_per_atom=0.7595 total_energy_ev_per_atom=-6.306 pbc="T T T"
Cr -3.889 0.520 1.646
O 0.000 0.000 0.000
Sm -1.245 -1.701 1.261
Sm -0.618 1.691 1.671
Sm -2.025 0.530 -1.285